Record 1
The following is a PBE calculation of ScRuRh2 after structural relaxation, from Alexandria via LeMat-Bulk.

Computed properties:
- DOS(E_F): 4.44 states/eV per cell
- Symmetry: Cmmm, No. 65
- E_tot: -7.9824 eV/atom
- Calculated formation energy: -0.405 eV/atom

a = 4.701 Å, b = 4.701 Å, c = 2.864 Å
α = 90.00°, β = 90.00°, γ = 106.96°
Positions (direct):
Sc 0.000 0.000 0.000
Ru 0.500 0.500 0.000
Rh 0.000 0.500 0.500
Rh 0.500 0.000 0.500

***

Record 2
The following is a PBE calculation of ScRuRh2 after structural relaxation, from Alexandria via LeMat-Bulk.

Computed properties:
- DOS(E_F): 4.43 states/eV per cell
- Symmetry: R-3m, No. 166
- E_tot: -7.6348 eV/atom
- Calculated formation energy: -0.057 eV/atom

a = 8.889 Å, b = 8.889 Å, c = 8.889 Å
α = 18.51°, β = 18.51°, γ = 18.51°
Positions (direct):
Sc 0.000 0.000 0.000
Ru 0.500 0.500 0.500
Rh 0.249 0.249 0.249
Rh 0.751 0.751 0.751

***

Record 3
The following is a PBE calculation of ScRuRh2 after structural relaxation, from Alexandria via LeMat-Bulk.

Computed properties:
- DOS(E_F): 6.97 states/eV per cell
- Symmetry: F-43m, No. 216
- E_tot: -7.7650 eV/atom
- Calculated formation energy: -0.187 eV/atom

a = 4.441 Å, b = 4.441 Å, c = 4.441 Å
α = 60.00°, β = 60.00°, γ = 60.00°
Positions (direct):
Sc 0.000 0.000 0.000
Ru 0.250 0.250 0.250
Rh 0.500 0.500 0.500
Rh 0.750 0.750 0.750

***

Record 4
The following is a PBE calculation of Sc4RuRh after structural relaxation, from Alexandria via LeMat-Bulk.

Computed properties:
- DOS(E_F): 8.41 states/eV per cell
- Symmetry: F-43m, No. 216
- E_tot: -6.6181 eV/atom
- Calculated formation energy: 0.374 eV/atom
- Energy above the most stable polymorph in this dataset: 0.9257 eV per atom

a = 5.417 Å, b = 5.417 Å, c = 5.417 Å
α = 60.00°, β = 60.00°, γ = 60.00°
Positions (direct):
Sc 0.125 0.125 0.125
Sc 0.125 0.125 0.625
Sc 0.125 0.625 0.125
Sc 0.625 0.125 0.125
Ru 0.500 0.500 0.500
Rh 0.750 0.750 0.750

***

Record 5
The following is a PBE calculation of Sc2RuRh after structural relaxation, from Alexandria via LeMat-Bulk.

Computed properties:
- DOS(E_F): 2.40 states/eV per cell
- Symmetry: I4/mmm, No. 139
- E_tot: -8.1420 eV/atom
- Calculated formation energy: -0.819 eV/atom

a = 4.551 Å, b = 4.551 Å, c = 4.551 Å
α = 120.15°, β = 120.15°, γ = 89.74°
Positions (direct):
Sc 0.250 0.750 0.500
Sc 0.750 0.250 0.500
Ru 0.000 0.000 0.000
Rh 0.500 0.500 0.000

***

Record 6
The following is a PBE calculation of Sc2RuRh after structural relaxation, from Alexandria via LeMat-Bulk.

Computed properties:
- DOS(E_F): 4.26 states/eV per cell
- Symmetry: R-3m, No. 166
- E_tot: -7.7519 eV/atom
- Calculated formation energy: -0.429 eV/atom

a = 8.249 Å, b = 8.249 Å, c = 8.249 Å
α = 22.04°, β = 22.04°, γ = 22.04°
Positions (direct):
Sc 0.249 0.249 0.249
Sc 0.751 0.751 0.751
Ru 0.500 0.500 0.500
Rh 0.000 0.000 0.000

***

Record 7
The following is a PBE calculation of Sc6RuRh5 after structural relaxation, from Alexandria via LeMat-Bulk.

Computed properties:
- DOS(E_F): 4.01 states/eV per cell
- Symmetry: P2/m, No. 10
- E_tot: -7.9716 eV/atom
- Calculated formation energy: -0.970 eV/atom

a = 4.564 Å, b = 6.418 Å, c = 7.225 Å
α = 90.00°, β = 108.25°, γ = 90.00°
Positions (direct):
Sc 0.000 0.247 0.000
Sc 0.000 0.753 0.000
Sc 0.335 0.249 0.669
Sc 0.335 0.751 0.669
Sc 0.665 0.249 0.331
Sc 0.665 0.751 0.331
Ru 0.500 0.000 0.000
Rh 0.167 0.000 0.334
Rh 0.167 0.500 0.334
Rh 0.500 0.500 0.000
Rh 0.833 0.000 0.666
Rh 0.833 0.500 0.666

***

Record 8
The following is a PBE calculation of Sc2RuRh after structural relaxation, from Alexandria via LeMat-Bulk.

Computed properties:
- DOS(E_F): 3.19 states/eV per cell
- Symmetry: Pmm2, No. 25
- E_tot: -7.7669 eV/atom
- Calculated formation energy: -0.444 eV/atom

a = 3.026 Å, b = 4.295 Å, c = 5.372 Å
α = 90.00°, β = 90.00°, γ = 90.00°
Positions (direct):
Sc 0.000 0.000 0.000
Sc 0.500 0.500 0.352
Ru 0.500 0.500 0.851
Rh 0.000 0.000 0.511

***

Record 9
The following is a PBE calculation of Sc4RuRh after structural relaxation, from Alexandria via LeMat-Bulk.

Computed properties:
- DOS(E_F): 4.19 states/eV per cell
- Symmetry: P4/mmm, No. 123
- E_tot: -7.5438 eV/atom
- Calculated formation energy: -0.552 eV/atom
- Energy above the most stable polymorph in this dataset: 0.0000 eV per atom

a = 3.201 Å, b = 3.201 Å, c = 11.826 Å
α = 90.00°, β = 90.00°, γ = 90.00°
Positions (direct):
Sc 0.000 0.000 0.131
Sc 0.000 0.000 0.869
Sc 0.500 0.500 0.363
Sc 0.500 0.500 0.637
Ru 0.500 0.500 0.000
Rh 0.000 0.000 0.500

***

Record 10
The following is a PBE calculation of ScRuRh2 after structural relaxation, from Alexandria via LeMat-Bulk.

Computed properties:
- DOS(E_F): 4.09 states/eV per cell
- Symmetry: C2/m, No. 12
- E_tot: -7.8922 eV/atom
- Calculated formation energy: -0.315 eV/atom

a = 4.831 Å, b = 4.831 Å, c = 4.723 Å
α = 100.64°, β = 100.64°, γ = 34.37°
Positions (direct):
Sc 0.000 0.000 0.000
Ru 0.500 0.500 0.500
Rh 0.245 0.245 0.738
Rh 0.755 0.755 0.262

***

Record 11
The following is a PBE calculation of ScRuRh2 after structural relaxation, from Alexandria via LeMat-Bulk.

Computed properties:
- DOS(E_F): 5.47 states/eV per cell
- Symmetry: R3m, No. 160
- E_tot: -7.5870 eV/atom
- Calculated formation energy: -0.009 eV/atom

a = 8.906 Å, b = 8.906 Å, c = 8.906 Å
α = 18.51°, β = 18.51°, γ = 18.51°
Positions (direct):
Sc 0.000 0.000 0.000
Ru 0.246 0.246 0.246
Rh 0.500 0.500 0.500
Rh 0.747 0.747 0.747

***

Record 12
The following is a PBE calculation of Sc4RuRh after structural relaxation, from Alexandria via LeMat-Bulk.

Computed properties:
- DOS(E_F): 3.96 states/eV per cell
- Symmetry: P4/mmm, No. 123
- E_tot: -7.4649 eV/atom
- Calculated formation energy: -0.473 eV/atom
- Energy above the most stable polymorph in this dataset: 0.0789 eV per atom

a = 4.495 Å, b = 4.495 Å, c = 6.364 Å
α = 90.00°, β = 90.00°, γ = 90.00°
Positions (direct):
Sc 0.000 0.500 0.247
Sc 0.000 0.500 0.753
Sc 0.500 0.000 0.247
Sc 0.500 0.000 0.753
Ru 0.000 0.000 0.000
Rh 0.500 0.500 0.500

***

Record 13
The following is a PBE calculation of Sc2RuRh after structural relaxation, from Alexandria via LeMat-Bulk.

Computed properties:
- DOS(E_F): 1.87 states/eV per cell
- Symmetry: P4/mmm, No. 123
- E_tot: -8.1463 eV/atom
- Calculated formation energy: -0.824 eV/atom

a = 3.221 Å, b = 3.221 Å, c = 6.427 Å
α = 90.00°, β = 90.00°, γ = 90.00°
Positions (direct):
Sc 0.000 0.000 0.243
Sc 0.000 0.000 0.757
Ru 0.500 0.500 0.000
Rh 0.500 0.500 0.500

***

Record 14
The following is a PBE calculation of Sc4Ru3Rh after structural relaxation, from Alexandria via LeMat-Bulk.

Computed properties:
- DOS(E_F): 6.04 states/eV per cell
- Symmetry: I4/mmm, No. 139
- E_tot: -8.2434 eV/atom
- Calculated formation energy: -0.680 eV/atom

a = 7.173 Å, b = 7.173 Å, c = 7.173 Å
α = 143.01°, β = 143.01°, γ = 53.31°
Positions (direct):
Sc 0.126 0.626 0.500
Sc 0.374 0.874 0.500
Sc 0.626 0.126 0.500
Sc 0.874 0.374 0.500
Ru 0.000 0.000 0.000
Ru 0.249 0.249 0.000
Ru 0.751 0.751 0.000
Rh 0.500 0.500 0.000

***

Record 15
The following is a PBE calculation of Sc8RuRh2 after structural relaxation, from Alexandria via LeMat-Bulk.

Computed properties:
- DOS(E_F): 11.32 states/eV per cell
- Symmetry: C2/m, No. 12
- E_tot: -7.2158 eV/atom
- Calculated formation energy: -0.431 eV/atom

a = 7.260 Å, b = 7.260 Å, c = 5.247 Å
α = 100.93°, β = 100.93°, γ = 116.47°
Positions (direct):
Sc 0.088 0.334 0.604
Sc 0.207 0.793 0.000
Sc 0.334 0.088 0.604
Sc 0.361 0.361 0.187
Sc 0.639 0.639 0.813
Sc 0.666 0.912 0.396
Sc 0.793 0.207 0.000
Sc 0.912 0.666 0.396
Ru 0.000 0.000 0.000
Rh 0.305 0.695 0.500
Rh 0.695 0.305 0.500

***

Record 16
The following is a PBE calculation of Sc2RuRh after structural relaxation, from Alexandria via LeMat-Bulk.

Computed properties:
- DOS(E_F): 5.32 states/eV per cell
- Symmetry: R3m, No. 160
- E_tot: -7.3144 eV/atom
- Calculated formation energy: 0.008 eV/atom

a = 9.286 Å, b = 9.286 Å, c = 9.286 Å
α = 19.09°, β = 19.09°, γ = 19.09°
Positions (direct):
Sc 0.000 0.000 0.000
Sc 0.222 0.222 0.222
Ru 0.736 0.736 0.736
Rh 0.486 0.486 0.486

***

Record 17
The following is a PBE calculation of ScRuRh2 after structural relaxation, from Alexandria via LeMat-Bulk.

Computed properties:
- DOS(E_F): 4.40 states/eV per cell
- Symmetry: I4/mmm, No. 139
- E_tot: -7.9675 eV/atom
- Calculated formation energy: -0.390 eV/atom

a = 4.805 Å, b = 4.805 Å, c = 4.805 Å
α = 131.46°, β = 131.46°, γ = 71.08°
Positions (direct):
Sc 0.000 0.000 0.000
Ru 0.500 0.500 0.000
Rh 0.250 0.750 0.500
Rh 0.750 0.250 0.500

***

Record 18
The following is a PBE calculation of ScRuRh2 after structural relaxation, from Alexandria via LeMat-Bulk.

Computed properties:
- DOS(E_F): 2.94 states/eV per cell
- Symmetry: I-4m2, No. 119
- E_tot: -7.9407 eV/atom
- Calculated formation energy: -0.363 eV/atom

a = 4.828 Å, b = 4.828 Å, c = 4.828 Å
α = 131.94°, β = 131.94°, γ = 70.32°
Positions (direct):
Sc 0.000 0.000 0.000
Ru 0.750 0.250 0.500
Rh 0.250 0.750 0.500
Rh 0.500 0.500 0.000

***

Record 19
The following is a PBE calculation of Sc2Ru2Rh after structural relaxation, from Alexandria via LeMat-Bulk.

Computed properties:
- DOS(E_F): 14.27 states/eV per cell
- Symmetry: P4/mbm, No. 127
- E_tot: -8.0289 eV/atom
- Calculated formation energy: -0.316 eV/atom

a = 6.635 Å, b = 6.635 Å, c = 3.990 Å
α = 90.00°, β = 90.00°, γ = 90.00°
Positions (direct):
Sc 0.181 0.319 0.000
Sc 0.319 0.819 0.000
Sc 0.681 0.181 0.000
Sc 0.819 0.681 0.000
Ru 0.128 0.628 0.500
Ru 0.372 0.128 0.500
Ru 0.628 0.872 0.500
Ru 0.872 0.372 0.500
Rh 0.000 0.000 0.500
Rh 0.500 0.500 0.500

***

Record 20
The following is a PBE calculation of Sc2RuRh after structural relaxation, from Alexandria via LeMat-Bulk.

Computed properties:
- DOS(E_F): 4.30 states/eV per cell
- Symmetry: I-4m2, No. 119
- E_tot: -7.8526 eV/atom
- Calculated formation energy: -0.530 eV/atom

a = 5.454 Å, b = 5.454 Å, c = 5.454 Å
α = 139.32°, β = 139.32°, γ = 58.88°
Positions (direct):
Sc 0.000 0.000 0.000
Sc 0.750 0.250 0.500
Ru 0.500 0.500 0.000
Rh 0.250 0.750 0.500

***

Record 21
The following is a PBE calculation of Sc2RuRh after structural relaxation, from Alexandria via LeMat-Bulk.

Computed properties:
- DOS(E_F): 6.24 states/eV per cell
- Symmetry: I-42d, No. 122
- E_tot: -7.5654 eV/atom
- Calculated formation energy: -0.243 eV/atom

a = 5.745 Å, b = 5.745 Å, c = 5.745 Å
α = 105.63°, β = 105.63°, γ = 117.47°
Positions (direct):
Sc 0.125 0.625 0.000
Sc 0.375 0.375 0.500
Sc 0.625 0.125 0.000
Sc 0.875 0.875 0.500
Ru 0.000 0.000 0.000
Ru 0.750 0.250 0.500
Rh 0.250 0.750 0.500
Rh 0.500 0.500 0.000

***

Record 22
The following is a PBE calculation of ScRuRh2 after structural relaxation, from Alexandria via LeMat-Bulk.

Computed properties:
- DOS(E_F): 5.40 states/eV per cell
- Symmetry: P4mm, No. 99
- E_tot: -7.7684 eV/atom
- Calculated formation energy: -0.191 eV/atom

a = 3.277 Å, b = 3.277 Å, c = 5.858 Å
α = 90.00°, β = 90.00°, γ = 90.00°
Positions (direct):
Sc 0.000 0.000 0.000
Ru 0.500 0.500 0.713
Rh 0.000 0.000 0.509
Rh 0.500 0.500 0.241

***

Record 23
The following is a PBE calculation of Sc2RuRh after structural relaxation, from Alexandria via LeMat-Bulk.

Computed properties:
- DOS(E_F): 6.21 states/eV per cell
- Symmetry: F-43m, No. 216
- E_tot: -7.5794 eV/atom
- Calculated formation energy: -0.257 eV/atom

a = 4.564 Å, b = 4.564 Å, c = 4.564 Å
α = 60.00°, β = 60.00°, γ = 60.00°
Positions (direct):
Sc 0.000 0.000 0.000
Sc 0.250 0.250 0.250
Ru 0.750 0.750 0.750
Rh 0.500 0.500 0.500

***

Record 24
The following is a PBE calculation of ScRuRh2 after structural relaxation, from Alexandria via LeMat-Bulk.

Computed properties:
- DOS(E_F): 8.02 states/eV per cell
- Symmetry: I-42d, No. 122
- E_tot: -7.5348 eV/atom
- Calculated formation energy: 0.043 eV/atom

a = 9.425 Å, b = 9.425 Å, c = 9.425 Å
α = 156.53°, β = 156.53°, γ = 33.44°
Positions (direct):
Sc 0.000 0.000 0.000
Sc 0.750 0.250 0.500
Ru 0.250 0.750 0.500
Ru 0.500 0.500 0.000
Rh 0.135 0.625 0.010
Rh 0.375 0.385 0.510
Rh 0.615 0.125 0.990
Rh 0.875 0.865 0.490

***

Record 25
The following is a PBE calculation of Sc6Ru5Rh after structural relaxation, from Alexandria via LeMat-Bulk.

Computed properties:
- DOS(E_F): 11.28 states/eV per cell
- Symmetry: Immm, No. 71
- E_tot: -8.2777 eV/atom
- Calculated formation energy: -0.634 eV/atom

a = 7.852 Å, b = 7.852 Å, c = 7.852 Å
α = 146.31°, β = 131.56°, γ = 60.30°
Positions (direct):
Sc 0.080 0.332 0.748
Sc 0.247 0.000 0.247
Sc 0.416 0.668 0.748
Sc 0.584 0.332 0.252
Sc 0.753 0.000 0.753
Sc 0.920 0.668 0.252
Ru 0.000 0.500 0.500
Ru 0.166 0.166 0.000
Ru 0.334 0.834 0.500
Ru 0.666 0.166 0.500
Ru 0.834 0.834 0.000
Rh 0.500 0.500 0.000

***

Record 26
The following is a PBE calculation of ScSi2RuRh after structural relaxation, from Alexandria via LeMat-Bulk.

Computed properties:
- DOS(E_F): 1.82 states/eV per cell
- ΔE_f (raw): -0.936 eV per atom
- Symmetry: I-4m2, No. 119
- E_tot: -7.6974 eV/atom

a = 5.574 Å, b = 5.574 Å, c = 5.574 Å
α = 137.20°, β = 137.20°, γ = 62.13°
Positions (direct):
Sc 0.000 0.000 0.000
Si 0.376 0.376 0.000
Si 0.624 0.624 0.000
Ru 0.250 0.750 0.500
Rh 0.750 0.250 0.500

***

Record 27
The following is a PBE calculation of Sc3Sn3Ru2Rh after structural relaxation, from Alexandria via LeMat-Bulk.

Computed properties:
- DOS(E_F): 8.55 states/eV per cell
- Symmetry: P-62m, No. 189
- E_tot: -6.9558 eV/atom
- Calculated formation energy: -0.633 eV/atom

a = 7.570 Å, b = 7.570 Å, c = 3.437 Å
α = 90.00°, β = 90.00°, γ = 120.00°
Positions (direct):
Sc 0.000 0.392 0.000
Sc 0.392 0.000 0.000
Sc 0.608 0.608 0.000
Sn 0.000 0.722 0.500
Sn 0.278 0.278 0.500
Sn 0.722 0.000 0.500
Ru 0.333 0.667 0.500
Ru 0.667 0.333 0.500
Rh 0.000 0.000 0.000